# 1
Crystalline KY2Cl at its relaxed geometry. Source: Alexandria via LeMat-Bulk, functional PBE.

Summary:
DFT total energy	-4.551	eV per atom
calculated volume	32.5	Å³/atom
M_tot	0.95	Bohr magnetons per cell
formation energy (no corrections)	-0.5833	eV per atom
distance to the lowest polymorph of the same formula	63	meV per atom

a b c (Å): 3.5714 3.5714 10.2031
angles (deg): 90.00 90.00 90.00
With the nearest neighbours (Å) after each atom.
Element x y z (fractional)
K (0.0000, 0.0000, 0.0000)  4 Cl 3.31, 4 K 3.57
Y (0.0000, 0.0000, 0.5867)  4 Cl 3.27, 8 Y 3.50-3.57
Y (0.5000, 0.5000, 0.3486)  8 Y 3.50-3.57
Cl (0.5000, 0.5000, 0.7908)  4 Y 3.27, 4 K 3.31, 4 Cl 3.57

***

# 2
Crystalline Sr2Ca3Ac at its relaxed geometry. Source: Alexandria via LeMat-Bulk, functional PBE.

Summary:
DFT total energy	-2.213	eV per atom
calculated volume	46.1	Å³/atom
M_tot	0.00	Bohr magnetons per cell
energy relative to the elements	0.2	eV/f.u.

a b c (Å): 4.4015 4.4015 14.2702
angles (deg): 90.00 90.00 90.00
With the nearest neighbours (Å) after each atom.
Element x y z (fractional)
Sr (0.0000, 0.0000, 0.1750)  8 Ca 3.92-3.99
Sr (0.0000, 0.0000, 0.8250)  8 Ca 3.92-3.99
Ca (0.5000, 0.5000, 0.0000)  8 Sr 3.99, 4 Ca 4.40
Ca (0.5000, 0.5000, 0.3419)  4 Ac 3.84, 4 Sr 3.92
Ca (0.5000, 0.5000, 0.6581)  4 Ac 3.84, 4 Sr 3.92
Ac (0.0000, 0.0000, 0.5000)  8 Ca 3.84

***

# 3
Crystalline PrSmAg4 at its relaxed geometry. Source: Alexandria via LeMat-Bulk, functional PBE.

Summary:
DFT total energy	-3.637	eV per atom
calculated volume	22.9	Å³/atom
M_tot	0.00	Bohr magnetons per cell
distance to the lowest polymorph of the same formula	106	meV per atom
energy relative to the elements	-0.9	eV/f.u.

a b c (Å): 5.7893 5.7893 5.7893
angles (deg): 60.00 60.00 60.00
With the nearest neighbours (Å) after each atom.
Element x y z (fractional)
Pr (0.0000, 0.0000, 0.0000)  12 Ag 3.39, 4 Sm 3.55
Sm (0.2500, 0.2500, 0.2500)  12 Ag 3.39, 4 Pr 3.55
Ag (0.1256, 0.6248, 0.6248)  6 Ag 2.89-2.90
Ag (0.6248, 0.1256, 0.6248)  6 Ag 2.89-2.90
Ag (0.6248, 0.6248, 0.1256)  6 Ag 2.89-2.90
Ag (0.6248, 0.6248, 0.6248)  6 Ag 2.89-2.90

***

# 4
Crystalline PmPu2UAs4 at its relaxed geometry. Source: Alexandria via LeMat-Bulk, functional PBE.

Summary:
DFT total energy	-8.958	eV per atom
calculated volume	25.2	Å³/atom
M_tot	1.92	Bohr magnetons per cell
energy relative to the elements	-8.4	eV/f.u.

a b c (Å): 7.1825 7.1825 7.1825
angles (deg): 131.84 131.84 70.49
With the nearest neighbours (Å) after each atom.
Element x y z (fractional)
Pm (0.0000, 0.0000, 0.0000)  6 As 2.93-2.97
Pu (0.5000, 0.5000, 0.0000)  6 As 2.89-2.93
Pu (0.7500, 0.2500, 0.5000)  6 As 2.93-2.99
U (0.2500, 0.7500, 0.5000)  6 As 2.87-2.93
As (0.0052, 0.5052, 0.5000)  1 U 2.87, 2 Pm 2.93, 3 Pu 2.93-2.99
As (0.2533, 0.2533, 0.0000)  3 Pu 2.89-2.93, 2 U 2.93, 1 Pm 2.97
As (0.4948, 0.9948, 0.5000)  1 U 2.87, 2 Pm 2.93, 3 Pu 2.93-2.99
As (0.7467, 0.7467, 0.0000)  3 Pu 2.89-2.93, 2 U 2.93, 1 Pm 2.97

***

# 5
Crystalline Tb2Pr5Y3 at its relaxed geometry. Source: Alexandria via LeMat-Bulk, functional PBE.

Summary:
DFT total energy	-5.082	eV per atom
calculated volume	34.8	Å³/atom
M_tot	0.00	Bohr magnetons per cell
distance to the lowest polymorph of the same formula	0	meV per atom
energy relative to the elements	1.7	eV/f.u.

a b c (Å): 9.2017 9.2017 10.1933
angles (deg): 108.29 108.29 107.61
With the nearest neighbours (Å) after each atom.
Element x y z (fractional)
Tb (0.0259, 0.2790, 0.0607)  3 Y 3.30-3.55, 4 Pr 3.41-3.55
Tb (0.2790, 0.0259, 0.5607)  3 Y 3.30-3.55, 4 Pr 3.41-3.55
Tb (0.7210, 0.9741, 0.4393)  3 Y 3.30-3.55, 4 Pr 3.41-3.55
Tb (0.9741, 0.7210, 0.9393)  3 Y 3.30-3.55, 4 Pr 3.41-3.55
Pr (0.0152, 0.9848, 0.7500)  3 Pr 3.15-3.46, 2 Tb 3.41
Pr (0.1277, 0.3849, 0.7610)  3 Y 3.44-3.83, 3 Pr 3.45-3.52, 1 Tb 3.78
Pr (0.2273, 0.7727, 0.7500)  3 Pr 3.15-3.45, 4 Y 3.44-3.52, 2 Tb 3.48
Pr (0.3849, 0.1277, 0.2610)  3 Y 3.44-3.83, 3 Pr 3.45-3.52, 1 Tb 3.78
Pr (0.4771, 0.5229, 0.2500)  3 Y 3.08-3.44
Pr (0.5229, 0.4771, 0.7500)  3 Y 3.08-3.44
Pr (0.6151, 0.8723, 0.7390)  3 Y 3.44-3.83, 3 Pr 3.45-3.52, 1 Tb 3.78
Pr (0.7727, 0.2273, 0.2500)  3 Pr 3.15-3.45, 4 Y 3.44-3.52, 2 Tb 3.48
Pr (0.8723, 0.6151, 0.2390)  3 Y 3.44-3.83, 3 Pr 3.45-3.52, 1 Tb 3.78
Pr (0.9848, 0.0152, 0.2500)  3 Pr 3.15-3.46, 2 Tb 3.41
Y (0.2194, 0.4687, 0.4431)  1 Tb 3.30, 5 Pr 3.44-3.56, 1 Y 3.57
Y (0.2698, 0.7302, 0.2500)  3 Pr 3.08-3.44, 2 Tb 3.42
Y (0.4687, 0.2194, 0.9431)  1 Tb 3.30, 5 Pr 3.44-3.56, 1 Y 3.57
Y (0.5313, 0.7806, 0.0569)  1 Tb 3.30, 5 Pr 3.44-3.56, 1 Y 3.57
Y (0.7302, 0.2698, 0.7500)  3 Pr 3.08-3.44, 2 Tb 3.42
Y (0.7806, 0.5313, 0.5569)  1 Tb 3.30, 5 Pr 3.44-3.56, 1 Y 3.57

***

# 6
Crystalline SiIrSe2 at its relaxed geometry. Source: Alexandria via LeMat-Bulk, functional PBE.

Summary:
DFT total energy	-4.720	eV per atom
calculated volume	16.7	Å³/atom
M_tot	0.00	Bohr magnetons per cell
formation energy (no corrections)	0.5937	eV per atom

a b c (Å): 4.6945 4.6945 4.6945
angles (deg): 125.05 125.05 81.45
With the nearest neighbours (Å) after each atom.
Element x y z (fractional)
Si (0.0000, 0.0000, 0.0000)  8 Se 2.80-3.06, 4 Ir 2.80
Ir (0.2500, 0.7500, 0.5000)  8 Se 2.80-3.06, 4 Si 2.80
Se (0.5000, 0.5000, 0.0000)  4 Se 2.80, 4 Ir 2.80, 4 Si 3.06
Se (0.7500, 0.2500, 0.5000)  4 Se 2.80, 4 Si 2.80, 4 Ir 3.06

***

# 7
Crystalline CsIr3N at its relaxed geometry. Source: Alexandria via LeMat-Bulk, functional PBE.

Summary:
DFT total energy	-5.633	eV per atom
calculated volume	16.7	Å³/atom
M_tot	0.00	Bohr magnetons per cell
formation energy (no corrections)	1.5197	eV per atom
distance to the lowest polymorph of the same formula	0	meV per atom

a b c (Å): 4.3687 4.3687 4.3687
angles (deg): 90.00 90.00 90.00
With the nearest neighbours (Å) after each atom.
Element x y z (fractional)
Cs (0.0000, 0.0000, 0.0000)  12 Ir 3.09
Ir (0.0000, 0.5000, 0.5000)  2 N 2.18
Ir (0.5000, 0.0000, 0.5000)  2 N 2.18
Ir (0.5000, 0.5000, 0.0000)  2 N 2.18
N (0.5000, 0.5000, 0.5000)  6 Ir 2.18

***

# 8
Crystalline Sr6PbAu5 at its relaxed geometry. Source: Alexandria via LeMat-Bulk, functional PBE.

Summary:
DFT total energy	-3.208	eV per atom
calculated volume	29.4	Å³/atom
M_tot	0.00	Bohr magnetons per cell
energy relative to the elements	-8.3	eV/f.u.

a b c (Å): 9.5091 9.5091 9.5091
angles (deg): 146.67 131.02 60.54
With the nearest neighbours (Å) after each atom.
Element x y z (fractional)
Sr (0.0765, 0.3301, 0.7464)  7 Au 3.34-3.40, 1 Pb 3.43
Sr (0.2400, 0.0000, 0.2400)  6 Au 3.32-3.36, 2 Pb 3.41
Sr (0.4162, 0.6699, 0.7464)  7 Au 3.34-3.40, 1 Pb 3.43
Sr (0.5838, 0.3301, 0.2536)  7 Au 3.34-3.40, 1 Pb 3.43
Sr (0.7600, 0.0000, 0.7600)  6 Au 3.32-3.36, 2 Pb 3.41
Sr (0.9235, 0.6699, 0.2536)  7 Au 3.34-3.40, 1 Pb 3.43
Pb (0.5000, 0.5000, 0.0000)  8 Sr 3.41-3.43, 4 Au 3.81
Au (0.0000, 0.5000, 0.5000)  8 Sr 3.32-3.40
Au (0.1675, 0.1675, 0.0000)  8 Sr 3.34-3.35
Au (0.3380, 0.8380, 0.5000)  8 Sr 3.36-3.38
Au (0.6620, 0.1620, 0.5000)  8 Sr 3.36-3.38
Au (0.8325, 0.8325, 0.0000)  8 Sr 3.34-3.35

***

# 9
Crystalline Ca2MgNiH at its relaxed geometry. Source: Alexandria via LeMat-Bulk, functional PBE.

Summary:
DFT total energy	-3.034	eV per atom
calculated volume	19.7	Å³/atom
M_tot	0.00	Bohr magnetons per cell
distance to the lowest polymorph of the same formula	0	meV per atom

a b c (Å): 5.1071 5.1071 3.7796
angles (deg): 90.00 90.00 90.00
With the nearest neighbours (Å) after each atom.
Element x y z (fractional)
Ca (0.0000, 0.5000, 0.0000)  2 H 2.55
Ca (0.5000, 0.0000, 0.0000)  2 H 2.55
Mg (0.0000, 0.0000, 0.5000)  8 Ca 3.18
Ni (0.5000, 0.5000, 0.5000)  2 H 1.89
H (0.5000, 0.5000, 0.0000)  2 Ni 1.89

***

# 10
Crystalline KCuIr2 at its relaxed geometry. Source: Alexandria via LeMat-Bulk, functional PBE.

Summary:
DFT total energy	-5.209	eV per atom
calculated volume	16.3	Å³/atom
M_tot	0.00	Bohr magnetons per cell
distance to the lowest polymorph of the same formula	98	meV per atom
energy relative to the elements	2.1	eV/f.u.

a b c (Å): 10.0683 10.0683 10.0683
angles (deg): 15.73 15.73 15.73
With the nearest neighbours (Å) after each atom.
Element x y z (fractional)
K (0.0000, 0.0000, 0.0000)  6 K 2.76
Cu (0.5000, 0.5000, 0.5000)  6 Ir 2.65, 6 Cu 2.76
Ir (0.2378, 0.2378, 0.2378)  3 Cu 2.65, 6 Ir 2.76
Ir (0.7622, 0.7622, 0.7622)  3 Cu 2.65, 6 Ir 2.76

***

# 11
Crystalline LaP2Se at its relaxed geometry. Source: Alexandria via LeMat-Bulk, functional PBE.

Summary:
DFT total energy	-5.588	eV per atom
calculated volume	21.1	Å³/atom
M_tot	0.00	Bohr magnetons per cell
formation energy (no corrections)	-0.7797	eV per atom

a b c (Å): 5.3881 5.3881 5.3881
angles (deg): 140.17 120.60 73.92
With the nearest neighbours (Å) after each atom.
Element x y z (fractional)
La (0.0000, 0.0000, 0.0000)  4 Se 3.13-3.20, 8 P 3.15-3.26
P (0.2969, 0.7969, 0.5000)  2 P 2.30
P (0.4584, 0.4584, 0.0000)  2 P 2.30
Se (0.7059, 0.2059, 0.5000)  2 P 2.81, 2 La 3.13

***

# 12
Crystalline SiHgBr3 at its relaxed geometry. Source: Alexandria via LeMat-Bulk, functional PBE.

Summary:
DFT total energy	-2.321	eV per atom
calculated volume	28.3	Å³/atom
M_tot	0.00	Bohr magnetons per cell
formation energy (no corrections)	-0.1722	eV per atom
distance to the lowest polymorph of the same formula	199	meV per atom

a b c (Å): 5.2124 5.2124 5.2124
angles (deg): 90.00 90.00 90.00
With the nearest neighbours (Å) after each atom.
Element x y z (fractional)
Si (0.0000, 0.0000, 0.0000)  6 Br 2.61
Hg (0.5000, 0.5000, 0.5000)  12 Br 3.69
Br (0.0000, 0.0000, 0.5000)  2 Si 2.61
Br (0.0000, 0.5000, 0.0000)  2 Si 2.61
Br (0.5000, 0.0000, 0.0000)  2 Si 2.61

***

# 13
Crystalline Cs2KPdPb at its relaxed geometry. Source: Alexandria via LeMat-Bulk, functional PBE.

Summary:
DFT total energy	-2.344	eV per atom
calculated volume	50.9	Å³/atom
M_tot	0.00	Bohr magnetons per cell
energy relative to the elements	0.0	eV/f.u.

a b c (Å): 6.8451 6.8451 5.4321
angles (deg): 90.00 90.00 90.00
With the nearest neighbours (Å) after each atom.
Element x y z (fractional)
Cs (0.0000, 0.5000, 0.0000)  2 Pd 3.42
Cs (0.5000, 0.0000, 0.0000)  2 Pd 3.42
K (0.0000, 0.0000, 0.5000)  8 Cs 4.37, 4 Pb 4.84
Pd (0.5000, 0.5000, 0.0000)  2 Pb 2.72
Pb (0.5000, 0.5000, 0.5000)  2 Pd 2.72

***

# 14
Crystalline BaIn2PdS at its relaxed geometry. Source: Alexandria via LeMat-Bulk, functional PBE.

Summary:
DFT total energy	-3.393	eV per atom
calculated volume	33.2	Å³/atom
M_tot	0.00	Bohr magnetons per cell
formation energy (no corrections)	-0.0495	eV per atom

a b c (Å): 5.3013 5.3013 5.9070
angles (deg): 90.00 90.00 90.00
With the nearest neighbours (Å) after each atom.
Element x y z (fractional)
Ba (0.0000, 0.0000, 0.0000)  2 S 2.95
In (0.0000, 0.5000, 0.5000)  2 S 2.65
In (0.5000, 0.0000, 0.5000)  2 S 2.65
Pd (0.5000, 0.5000, 0.0000)  4 Ba 3.75, 8 In 3.97
S (0.0000, 0.0000, 0.5000)  4 In 2.65, 2 Ba 2.95

***

# 15
Crystalline YCrIr2 at its relaxed geometry. Source: Alexandria via LeMat-Bulk, functional PBE.

Summary:
DFT total energy	-8.259	eV per atom
calculated volume	22.4	Å³/atom
M_tot	4.50	Bohr magnetons per cell
distance to the lowest polymorph of the same formula	480	meV per atom
energy relative to the elements	0.8	eV/f.u.

a b c (Å): 8.7024 8.7024 8.7024
angles (deg): 148.53 148.53 45.11
With the nearest neighbours (Å) after each atom.
Element x y z (fractional)
Y (0.0000, 0.0000, 0.0000)  4 Ir 3.02, 4 Cr 3.34
Y (0.7500, 0.2500, 0.5000)  4 Ir 3.02, 4 Cr 3.34
Cr (0.2500, 0.7500, 0.5000)  4 Ir 2.37
Cr (0.5000, 0.5000, 0.0000)  4 Ir 2.37
Ir (0.2828, 0.6250, 0.1578)  2 Cr 2.37, 2 Ir 2.52
Ir (0.3750, 0.5328, 0.6578)  2 Cr 2.37, 2 Ir 2.52
Ir (0.4672, 0.1250, 0.8422)  2 Cr 2.37, 2 Ir 2.52
Ir (0.8750, 0.7172, 0.3422)  2 Cr 2.37, 2 Ir 2.52

***

# 16
Crystalline MgAlIn at its relaxed geometry. Source: Alexandria via LeMat-Bulk, functional PBE.

Summary:
DFT total energy	-2.647	eV per atom
calculated volume	22.0	Å³/atom
M_tot	0.00	Bohr magnetons per cell
energy relative to the elements	0.1	eV/f.u.

a b c (Å): 3.1564 4.5077 9.4038
angles (deg): 90.00 99.81 90.00
With the nearest neighbours (Å) after each atom.
Element x y z (fractional)
Mg (0.1045, 0.2500, 0.2116)  6 Al 3.01-3.14, 2 Mg 3.16, 4 In 3.27-3.28
Mg (0.8955, 0.7500, 0.7884)  6 Al 3.01-3.14, 2 Mg 3.16, 4 In 3.27-3.28
Al (0.4621, 0.2500, 0.9192)  2 Al 2.71, 1 In 2.99, 4 Mg 3.01
Al (0.5379, 0.7500, 0.0808)  2 Al 2.71, 1 In 2.99, 4 Mg 3.01
In (0.3025, 0.2500, 0.5971)  1 Al 2.99, 6 In 3.16-3.30, 4 Mg 3.27-3.28
In (0.6975, 0.7500, 0.4029)  1 Al 2.99, 6 In 3.16-3.30, 4 Mg 3.27-3.28

***

# 17
Crystalline Sr2Zn3In at its relaxed geometry. Source: Alexandria via LeMat-Bulk, functional PBE.

Summary:
DFT total energy	-1.936	eV per atom
calculated volume	27.1	Å³/atom
M_tot	0.00	Bohr magnetons per cell
distance to the lowest polymorph of the same formula	9	meV per atom
energy relative to the elements	-1.7	eV/f.u.

a b c (Å): 9.4374 9.2195 6.3182
angles (deg): 72.08 68.36 39.57
With the nearest neighbours (Å) after each atom.
Element x y z (fractional)
Sr (0.2431, 0.7569, 0.7569)  10 Zn 3.35-3.50, 2 In 3.47
Sr (0.2500, 0.2500, 0.2500)  4 In 3.45, 8 Zn 3.47-3.49
Sr (0.7500, 0.7500, 0.7500)  4 In 3.45, 8 Zn 3.47-3.49
Sr (0.7569, 0.2431, 0.2431)  10 Zn 3.35-3.50, 2 In 3.47
Zn (0.1630, 0.1630, 0.8370)  2 Zn 2.66, 1 In 2.82
Zn (0.1638, 0.6745, 0.3255)  2 Zn 2.65-2.66, 1 In 2.76
Zn (0.3255, 0.8362, 0.1638)  2 Zn 2.65-2.66, 1 In 2.76
Zn (0.6745, 0.1638, 0.8362)  2 Zn 2.65-2.66, 1 In 2.76
Zn (0.8362, 0.3255, 0.6745)  2 Zn 2.65-2.66, 1 In 2.76
Zn (0.8370, 0.8370, 0.1630)  2 Zn 2.66, 1 In 2.82
In (0.3349, 0.3349, 0.6651)  3 Zn 2.76-2.82
In (0.6651, 0.6651, 0.3349)  3 Zn 2.76-2.82

***

# 18
Crystalline Tb3In3Ir2 at its relaxed geometry. Source: Alexandria via LeMat-Bulk, functional PBE.

Summary:
DFT total energy	-5.538	eV per atom
calculated volume	24.2	Å³/atom
M_tot	0.00	Bohr magnetons per cell
energy relative to the elements	-4.5	eV/f.u.

a b c (Å): 8.4437 8.4437 5.2251
angles (deg): 101.21 101.21 32.07
With the nearest neighbours (Å) after each atom.
Element x y z (fractional)
Tb (0.0000, 0.0000, 0.0000)  8 In 3.13-3.50, 2 Ir 3.45
Tb (0.1696, 0.1696, 0.5910)  2 Ir 2.72
Tb (0.8304, 0.8304, 0.4090)  2 Ir 2.72
In (0.3684, 0.3684, 0.9204)  3 Ir 2.70-2.86
In (0.5000, 0.5000, 0.5000)  4 In 3.33-3.36, 8 Tb 3.50-3.57
In (0.6316, 0.6316, 0.0796)  3 Ir 2.70-2.86
Ir (0.2170, 0.2170, 0.1202)  3 In 2.70-2.86, 2 Tb 2.72, 2 Ir 2.95
Ir (0.7830, 0.7830, 0.8798)  3 In 2.70-2.86, 2 Tb 2.72, 2 Ir 2.95